[1]
A relaxed GaPt2Cl crystal, computed with PBE-GGA.

Lattice parameters (Å, degrees): 4.503 4.503 4.503 60.00 60.00 60.00
Atoms (fractional coordinates):
Cl (0.000, 0.000, 0.000)
Pt (0.250, 0.250, 0.250)
Pt (0.750, 0.750, 0.750)
Ga (0.500, 0.500, 0.500)

The energy above the most stable polymorph in this dataset is 100.5 meV per atom.



[2]
A relaxed GaPtCl3 crystal, computed with PBE-GGA.

Lattice parameters (Å, degrees): 4.937 4.937 4.937 90.00 90.00 90.00
Atoms (fractional coordinates):
Pt (0.000, 0.000, 0.000)
Cl (0.000, 0.500, 0.000)
Ga (0.500, 0.500, 0.500)
Cl (0.500, 0.000, 0.000)
Cl (0.000, 0.000, 0.500)

The energy above the most stable polymorph in this dataset is 0.0 meV per atom.